ZnPRu2: relaxed, PBE-GGA.

Calculated values
- ΔE to the lowest computed polymorph: 0.114 eV/atom
- Space group: Imm2 (44)
- Calculated total energy: -51.6 eV/cell
- Size of the total moment: 0.00 μB per formula unit
- Formation energy from the elements: -13.8 kJ/mol of atoms

Cell lengths 2.905, 3.775, 10.289 Å; angles 90.00, 90.00, 90.00 degrees
Fractional positions:
1 Zn 0.000 0.000 0.000
2 Zn 0.500 0.500 0.500
3 P 0.000 0.500 0.740
4 P 0.500 0.000 0.240
5 Ru 0.000 0.000 0.414
6 Ru 0.000 0.500 0.179
7 Ru 0.500 0.000 0.679
8 Ru 0.500 0.500 0.914

TaBe2W: relaxed, PBE-GGA.

Calculated values
- ΔE to the lowest computed polymorph: 0.283 eV/atom
- Space group: I4/mmm (139)
- Calculated total energy: -64.0 eV/cell
- Size of the total moment: 0.00 μB per formula unit
- Formation energy from the elements: 5.7 kJ/mol of atoms

Cell lengths 3.854, 3.854, 6.952 Å; angles 90.00, 90.00, 90.00 degrees
Fractional positions:
1 Ta 0.000 0.000 0.000
2 Ta 0.500 0.500 0.500
3 Be 0.000 0.500 0.250
4 Be 0.000 0.500 0.750
5 Be 0.500 0.000 0.250
6 Be 0.500 0.000 0.750
7 W 0.000 0.000 0.500
8 W 0.500 0.500 0.000

Li2MnPt9: relaxed, PBE-GGA.

Calculated values
- Space group: P4/mmm (123)
- Calculated total energy: -72.1 eV/cell
- Size of the total moment: 4.31 μB per formula unit
- Formation energy from the elements: -37.9 kJ/mol of atoms

Cell lengths 3.899, 3.899, 11.698 Å; angles 90.00, 90.00, 90.00 degrees
Fractional positions:
1 Li 0.000 0.000 0.165
2 Li 0.000 0.000 0.835
3 Mn 0.000 0.000 0.500
4 Pt 0.000 0.500 0.000
5 Pt 0.000 0.500 0.331
6 Pt 0.000 0.500 0.669
7 Pt 0.500 0.000 0.000
8 Pt 0.500 0.000 0.331
9 Pt 0.500 0.000 0.669
10 Pt 0.500 0.500 0.165
11 Pt 0.500 0.500 0.500
12 Pt 0.500 0.500 0.835

PuInGe: relaxed, PBE-GGA.

Calculated values
- ΔE to the lowest computed polymorph: 0.071 eV/atom
- Space group: P-6m2 (187)
- Calculated total energy: -22.3 eV/cell
- Size of the total moment: 5.64 μB per formula unit
- Formation energy from the elements: -18.8 kJ/mol of atoms

Cell lengths 4.927, 4.927, 3.307 Å; angles 90.00, 90.00, 120.00 degrees
Fractional positions:
1 Pu 0.000 0.000 0.000
2 In 0.667 0.333 0.500
3 Ge 0.333 0.667 0.500

Question: What is the calculated total energy in the first record?
Answer: -51.6 eV/cell